This record from the Alexandria database describes an optimized crystal structure of SrScIn2. The functional is GGA-PBE.

The value obtained for the density of states at the Fermi level is 6.1 states/eV/cell. For the magnetic moment, the calculation gives 0.00 μB per formula unit. The formation energy comes out at -0.24 eV per atom. As for the total energy: -14.45 eV per formula unit.

It has space group C2/m (No. 12), with a = 9.855 Å, b = 3.778 Å, c = 6.765 Å, α = 90.00°, β = 102.38° and γ = 90.00°. The asymmetric unit holds Sr at (0.000, 0.000, 0.000), Sc at (0.000, 0.500, 0.500) and In at (0.242, 0.000, 0.687).